[1]
BaPt2Br after structural relaxation, computed with PBE.

Output
The offset from the most stable computed form comes out at 0.378 eV per atom. Its crystal system is tetragonal. As for the uncorrected formation energy: -0.235 eV per atom. The calculation puts the total energy at -16.6 eV for the cell shown. The value obtained for the calculated volume is 25.78 Å³/atom.

a b c (Å): 4.1734 4.1734 5.9202
angles (deg): 90.00 90.00 90.00
Sites, in units of the cell vectors:
Br 0.0000 0.5000 0.5000
Ba 0.5000 0.0000 0.5000
Pt 0.0000 0.0000 0.0000
Pt 0.5000 0.5000 0.0000

=====

[2]
SrBeOs2Pt after structural relaxation, computed with PBE.

Output
Its crystal system is tetragonal. The calculation puts the formation energy at 16.6 eV/f.u. The calculation puts the total energy at -17.3 eV for the cell shown. The value obtained for the calculated volume is 24.47 Å³/atom.

a b c (Å): 4.9023 5.0913 4.9023
angles (deg): 90.00 90.00 90.00
Sites, in units of the cell vectors:
Os 0.5000 0.0000 0.0000
Os 0.0000 0.0000 0.5000
Pt 0.0000 0.5000 0.0000
Sr 0.0000 0.0000 0.0000
Be 0.5000 0.5000 0.5000

=====

[3]
NaAu2I6 after structural relaxation, computed with PBE.

Output
The offset from the most stable computed form comes out at 0.033 eV per atom. Its crystal system is monoclinic. As for the uncorrected formation energy: -0.204 eV per atom. The calculation puts the total energy at -38.0 eV for the cell shown. The value obtained for the calculated volume is 40.64 Å³/atom.

a b c (Å): 7.3437 10.0208 10.0208
angles (deg): 93.33 85.55 85.55
Sites, in units of the cell vectors:
I 0.0732 0.1741 0.5872
I 0.1202 0.4336 0.2109
I 0.9268 0.8259 0.4128
I 0.5732 0.5872 0.1741
I 0.8798 0.5664 0.7891
I 0.7041 0.9754 0.8232
I 0.2041 0.8232 0.9754
I 0.7959 0.1768 0.0246
I 0.3798 0.7891 0.5664
I 0.6202 0.2109 0.4336
I 0.4268 0.4128 0.8259
I 0.2959 0.0246 0.1768
Au 0.7335 0.7369 0.6248
Au 0.7665 0.3752 0.2631
Au 0.2335 0.6248 0.7369
Au 0.2665 0.2631 0.3752
Na 0.2500 0.1372 0.8628
Na 0.7500 0.8628 0.1372

=====

[4]
Zr2MnBe after structural relaxation, computed with PBE.

Output
Its crystal system is tetragonal. The calculation puts the formation energy at -0.3 eV/f.u. The calculation puts the total energy at -30.3 eV for the cell shown. The value obtained for the calculated volume is 16.08 Å³/atom.

a b c (Å): 3.2183 3.2139 6.9986
angles (deg): 62.71 90.00 90.00
Sites, in units of the cell vectors:
Mn 0.5000 0.7500 0.7500
Zr 0.0000 0.4987 0.5017
Zr 0.0000 0.0013 0.9983
Be 0.5000 0.2500 0.2500

=====

[5]
NpPa4N10 after structural relaxation, computed with PBE.

Output
Its crystal system is tetragonal. As for the uncorrected formation energy: -1.248 eV per atom. The calculation puts the total energy at -152.9 eV for the cell shown. The value obtained for the calculated volume is 12.97 Å³/atom.

a b c (Å): 5.3780 6.5890 6.5890
angles (deg): 80.41 65.91 65.91
Sites, in units of the cell vectors:
N 0.1454 0.2898 0.9049
N 0.0503 0.0951 0.2898
N 0.4352 0.9049 0.7102
N 0.2500 0.5000 0.5000
N 0.5648 0.0951 0.2898
N 0.9497 0.9049 0.7102
N 0.6599 0.2898 0.9049
N 0.8546 0.7102 0.0951
N 0.3401 0.7102 0.0951
N 0.7500 0.5000 0.5000
Pa 0.6000 0.2006 0.5995
Pa 0.4000 0.7994 0.4005
Pa 0.8006 0.5995 0.7994
Pa 0.1994 0.4005 0.2006
Np 0.0000 0.0000 0.0000

=====

[6]
Ho4TlIr2 after structural relaxation, computed with PBE.

Output
The offset from the most stable computed form comes out at 0.000 eV per atom. Its crystal system is trigonal. The calculation puts the formation energy at -4.2 eV/f.u. The calculation puts the total energy at -42.6 eV for the cell shown. The value obtained for the calculated volume is 26.72 Å³/atom.

a b c (Å): 4.4123 4.4123 11.3846
angles (deg): 78.83 78.83 60.00
Sites, in units of the cell vectors:
Ir 0.8986 0.8986 0.3043
Ir 0.1014 0.1014 0.6957
Tl 0.0000 0.0000 0.0000
Ho 0.8009 0.8009 0.5973
Ho 0.1991 0.1991 0.4027
Ho 0.6046 0.6046 0.1862
Ho 0.3954 0.3954 0.8138

=====

[7]
Nb8P2C3 after structural relaxation, computed with PBE.

Output
Its crystal system is monoclinic. The calculation puts the formation energy at -5.6 eV/f.u. The calculation puts the total energy at -124.7 eV for the cell shown. The value obtained for the calculated volume is 15.82 Å³/atom.

a b c (Å): 5.5654 6.3978 6.8192
angles (deg): 117.98 104.53 90.00
Sites, in units of the cell vectors:
Nb 0.3988 0.8619 0.2165
Nb 0.8951 0.5941 0.1883
Nb 0.1049 0.4059 0.8117
Nb 0.6012 0.6454 0.7835
Nb 0.6012 0.1381 0.7835
Nb 0.1029 0.8963 0.7927
Nb 0.3988 0.3546 0.2165
Nb 0.8971 0.1037 0.2073
C 0.0000 0.7594 0.0000
C 0.5000 0.0000 0.0000
C 0.0000 0.2406 0.0000
P 0.6812 0.7448 0.4896
P 0.3188 0.2552 0.5104

=====

[8]
Ho2Ge4Pt3Rh after structural relaxation, computed with PBE.

Output
Its crystal system is tetragonal. The calculation puts the formation energy at -8.9 eV/f.u. The calculation puts the total energy at -62.0 eV for the cell shown. The value obtained for the calculated volume is 18.37 Å³/atom.

a b c (Å): 4.1071 4.1071 10.8917
angles (deg): 90.00 90.00 90.00
Sites, in units of the cell vectors:
Ge 0.0000 0.5000 0.3658
Ge 0.5000 0.0000 0.6342
Ge 0.0000 0.0000 0.0000
Ge 0.5000 0.5000 0.0000
Rh 0.5000 0.5000 0.5000
Ho 0.0000 0.5000 0.7412
Ho 0.5000 0.0000 0.2588
Pt 0.0000 0.5000 0.1430
Pt 0.5000 0.0000 0.8570
Pt 0.0000 0.0000 0.5000